The following is a DFT calculation (GGA-PBE) of crystalline Li4AcLu at its relaxed geometry.

abc: 6.0117 6.0117 6.0117
angles: 60.00 60.00 60.00
Closest atoms and distances in Å follow each position.
Sites, in units of the cell vectors:
Li (0.1231, 0.1231, 0.1231)  6 Li 2.96-3.05
Li (0.1231, 0.1231, 0.6306)  6 Li 2.96-3.05
Li (0.1231, 0.6306, 0.1231)  6 Li 2.96-3.05
Li (0.6306, 0.1231, 0.1231)  6 Li 2.96-3.05
Ac (0.5000, 0.5000, 0.5000)  12 Li 3.53, 4 Lu 3.68
Lu (0.7500, 0.7500, 0.7500)  12 Li 3.52, 4 Ac 3.68

* final energy: -0.192 Ry per atom
* formation energy: 0.103 eV per atom
* Fermi-level density of states: 6.19 states/eV/f.u.
* calculated volume: 25.6 A^3/atom


The following is a DFT calculation (GGA-PBE) of crystalline KBAu3 at its relaxed geometry.

abc: 4.5947 4.5947 4.5947
angles: 90.00 90.00 90.00
Closest atoms and distances in Å follow each position.
Sites, in units of the cell vectors:
K (0.0000, 0.0000, 0.0000)  12 Au 3.25
B (0.5000, 0.5000, 0.5000)  6 Au 2.30
Au (0.0000, 0.5000, 0.5000)  2 B 2.30
Au (0.5000, 0.0000, 0.5000)  2 B 2.30
Au (0.5000, 0.5000, 0.0000)  2 B 2.30

* final energy: -0.254 Ry per atom
* formation energy: 0.060 eV per atom
* Fermi-level density of states: 1.80 states/eV/f.u.
* calculated volume: 19.4 A^3/atom


The following is a DFT calculation (GGA-PBE) of crystalline CrCoSe3 at its relaxed geometry.

abc: 9.4933 9.4933 5.3016
angles: 90.00 90.00 157.79
Closest atoms and distances in Å follow each position.
Sites, in units of the cell vectors:
Cr (0.1707, 0.8293, 0.5000)  6 Se 2.47-2.54
Cr (0.8293, 0.1707, 0.0000)  6 Se 2.47-2.54
Co (0.4967, 0.5033, 0.4880)  6 Se 2.42-2.47, 2 Co 2.65
Co (0.5033, 0.4967, 0.9880)  6 Se 2.42-2.47, 2 Co 2.65
Se (0.0509, 0.9491, 0.7285)  4 Co 2.45, 1 Cr 2.54
Se (0.2879, 0.7121, 0.2788)  3 Cr 2.47-2.48
Se (0.3899, 0.6101, 0.7467)  2 Co 2.42-2.47, 2 Cr 2.53
Se (0.6101, 0.3899, 0.2467)  2 Co 2.42-2.47, 2 Cr 2.53
Se (0.7121, 0.2879, 0.7788)  3 Cr 2.47-2.48
Se (0.9491, 0.0509, 0.2285)  4 Co 2.45, 1 Cr 2.54

* final energy: -0.425 Ry per atom
* Fermi-level density of states: 2.24 states/eV/f.u.
* calculated volume: 18.1 A^3/atom
* energy relative to the lowest polymorph listed for this composition: 0 meV/atom


The following is a DFT calculation (GGA-PBE) of crystalline Cr2FeCoH at its relaxed geometry.

abc: 3.6196 3.6196 3.5383
angles: 90.00 90.00 90.00
Closest atoms and distances in Å follow each position.
Sites, in units of the cell vectors:
Cr (0.0000, 0.5000, 0.0000)  2 H 1.81
Cr (0.5000, 0.0000, 0.0000)  2 H 1.81
Fe (0.0000, 0.0000, 0.5000)  8 Cr 2.53, 4 Co 2.56
Co (0.5000, 0.5000, 0.5000)  2 H 1.77
H (0.5000, 0.5000, 0.0000)  2 Co 1.77, 4 Cr 1.81

* final energy: -0.557 Ry per atom
* Fermi-level density of states: 3.59 states/eV/f.u.
* calculated volume: 9.3 A^3/atom
* energy relative to the lowest polymorph listed for this composition: 0 meV/atom